A.
Ca3I2N after structural relaxation, computed with PBE.

Output
- calculated volume (Å³/f.u.) = 159.4
- total magnetic moment (Bohr magnetons per cell) = 0.00

abc: 6.986 6.994 7.894
angles: 81.39 72.55 60.04
Element x y z (fractional)
Ca: 0.452 0.610 0.822
Ca: 0.332 0.000 0.175
Ca: 0.548 0.390 0.178
Ca: 0.938 0.610 0.178
Ca: 0.062 0.390 0.822
Ca: 0.668 0.000 0.825
I: 0.000 0.000 0.000
I: 0.500 0.000 0.500
I: 0.158 0.683 0.500
I: 0.842 0.317 0.500
N: 0.668 0.665 0.000
N: 0.332 0.335 0.000

***

B.
Ca3I2N after structural relaxation, computed with PBE.

Output
- calculated volume (Å³/f.u.) = 181.3
- total magnetic moment (Bohr magnetons per cell) = 1.60

abc: 7.024 7.770 7.770
angles: 121.22 90.00 90.00
Site moments in Bohr magnetons follow the coordinates.
Element x y z (fractional)
Ca: 0.750 0.624 0.624  0.13
Ca: 0.250 0.376 0.376  0.13
Ca: 0.500 0.114 0.886  0.01
Ca: 0.000 0.114 0.886  0.01
Ca: 0.500 0.886 0.114  0.01
Ca: 0.000 0.886 0.114  0.01
I: 0.250 0.848 0.468  0.02
I: 0.750 0.152 0.532  0.02
I: 0.750 0.532 0.152  0.02
I: 0.250 0.468 0.848  0.02
N: 0.250 0.078 0.078  0.01
N: 0.750 0.922 0.922  0.01

***

The least stable of the structures above is A, whereas B is the most stable.